[1]
DFT (PBE-GGA) results for an optimized crystal structure of YAgMo.

abc: 4.7697 4.7697 4.7697
angles: 60.00 60.00 60.00
Last column: nearest neighbours and their distance in Å.
Element x y z (fractional)
Y 0.7500 0.7500 0.7500  4 Mo 2.92, 4 Ag 2.92
Ag 0.0000 0.0000 0.0000  4 Y 2.92
Mo 0.5000 0.5000 0.5000  4 Y 2.92

Computed properties:
VASP energy	-0.405	Ry per atom
V	77	Å³/cell
density	6335	kg/m3
spin magnetization	3.108	μB/cell
ΔE_f	1.20	eV/atom

***

[2]
DFT (PBE-GGA) results for an optimized crystal structure of Ta6TiOs2.

abc: 3.1979 5.4187 9.5526
angles: 76.01 80.36 72.84
Last column: nearest neighbours and their distance in Å.
Element x y z (fractional)
Ta 0.6699 0.2219 0.4383  2 Os 2.78, 6 Ta 2.85-2.86
Os 0.3374 0.1076 0.2177  2 Ti 2.75, 6 Ta 2.77-2.78
Ta 0.3276 0.4557 0.8891  4 Ta 2.74-2.79, 2 Os 2.78, 2 Ti 2.86
Ta 0.6724 0.5443 0.1109  4 Ta 2.74-2.79, 2 Os 2.78, 2 Ti 2.86
Ta 0.3301 0.7781 0.5617  2 Os 2.78, 6 Ta 2.85-2.86
Ti 0.0000 0.0000 0.0000  4 Os 2.75, 4 Ta 2.86
Ta 0.9973 0.6769 0.3286  2 Os 2.77, 6 Ta 2.79-2.86
Ta 0.0027 0.3231 0.6714  2 Os 2.77, 6 Ta 2.79-2.86
Os 0.6626 0.8924 0.7823  2 Ti 2.75, 6 Ta 2.77-2.78

Computed properties:
VASP energy	-0.849	Ry per atom
V	153	Å³/cell
density	16470	kg/m3
spin magnetization	0.000	μB/cell
ΔE_f	-0.28	eV/atom

***

[3]
DFT (PBE-GGA) results for an optimized crystal structure of La5NdGe4.

abc: 5.2711 7.1591 11.0039
angles: 129.92 103.86 90.00
Last column: nearest neighbours and their distance in Å.
Element x y z (fractional)
Ge 0.0093 0.2624 0.0187  6 La 3.09-3.28, 2 Nd 3.17
La 0.5000 0.5000 0.0000  6 Ge 3.21-3.37, 2 Nd 3.58
La 0.1658 0.3199 0.3317  5 Ge 3.09-3.28, 1 La 3.45
Ge 0.6765 0.1028 0.3531  7 La 3.13-3.37, 1 Nd 3.33
La 0.1636 0.8337 0.3272  5 Ge 3.13-3.28, 1 La 3.45
Ge 0.3235 0.8972 0.6469  7 La 3.13-3.37, 1 Nd 3.33
La 0.8342 0.6801 0.6683  5 Ge 3.09-3.28, 1 La 3.45
La 0.8364 0.1663 0.6728  5 Ge 3.13-3.28, 1 La 3.45
Nd 0.5000 0.0000 0.0000  6 Ge 3.17-3.33
Ge 0.9907 0.7376 0.9813  6 La 3.09-3.28, 2 Nd 3.17

Computed properties:
VASP energy	-0.400	Ry per atom
V	303	Å³/cell
density	6199	kg/m3
spin magnetization	0.000	μB/cell
ΔE_f	-0.65	eV/atom

***

[4]
DFT (PBE-GGA) results for an optimized crystal structure of SiHg2Mo.

abc: 4.6952 4.6952 4.6952
angles: 60.00 60.00 60.00
Last column: nearest neighbours and their distance in Å.
Element x y z (fractional)
Hg 0.0000 0.0000 0.0000  4 Si 2.88, 4 Hg 2.88
Hg 0.2500 0.2500 0.2500  4 Hg 2.88, 4 Mo 2.88
Si 0.7500 0.7500 0.7500  4 Hg 2.88, 4 Mo 2.88
Mo 0.5000 0.5000 0.5000  4 Hg 2.88, 4 Si 2.88

Computed properties:
ΔE_f (raw)	0.7953	eV per atom
VASP energy	-0.251	Ry per atom
V	73	Å³/cell
density	11916	kg/m3
spin magnetization	0.002	μB/cell

***

[5]
DFT (PBE-GGA) results for an optimized crystal structure of KBeGa2.

abc: 7.9496 3.9850 11.5841
angles: 90.00 107.94 90.00
Last column: nearest neighbours and their distance in Å.
Element x y z (fractional)
Ga 0.7014 0.0000 0.5183  1 Be 2.43, 2 Ga 2.66
Ga 0.4170 0.0000 0.8765  3 Be 2.30-2.40
Be 0.4769 0.0000 0.6943  4 Ga 2.30-2.43, 2 Be 2.34
Ga 0.7014 0.5000 0.0183  1 Be 2.43, 2 Ga 2.66
Be 0.4769 0.5000 0.1943  4 Ga 2.30-2.43, 2 Be 2.34
K 0.8915 0.5000 0.3470  3 Be 3.22-3.45, 1 K 3.43, 4 Ga 3.47-3.57
Ga 0.4170 0.5000 0.3765  3 Be 2.30-2.40
Ga 0.5830 0.5000 0.6235  3 Be 2.30-2.40
Be 0.5231 0.5000 0.8057  4 Ga 2.30-2.43, 2 Be 2.34
Ga 0.5830 0.0000 0.1235  3 Be 2.30-2.40
Ga 0.2986 0.0000 0.4817  1 Be 2.43, 2 Ga 2.66
Be 0.5231 0.0000 0.3057  4 Ga 2.30-2.43, 2 Be 2.34
K 0.8915 0.0000 0.8470  3 Be 3.22-3.45, 1 K 3.43, 4 Ga 3.47-3.57
K 0.1085 0.0000 0.1530  3 Be 3.22-3.45, 1 K 3.43, 4 Ga 3.47-3.57
K 0.1085 0.5000 0.6530  3 Be 3.22-3.45, 1 K 3.43, 4 Ga 3.47-3.57
Ga 0.2986 0.5000 0.9817  1 Be 2.43, 2 Ga 2.66

Computed properties:
VASP energy	-0.198	Ry per atom
V	349	Å³/cell
density	3568	kg/m3
spin magnetization	0.000	μB/cell
ΔE_f	0.03	eV/atom

***

[6]
DFT (PBE-GGA) results for an optimized crystal structure of In6PbCl8.

abc: 8.3756 8.3756 8.3756
angles: 73.54 73.54 73.54
Last column: nearest neighbours and their distance in Å.
Element x y z (fractional)
In 0.5102 0.2869 0.9617  3 Cl 2.88-3.05
Cl 0.7035 0.7035 0.7035  3 In 2.88
Cl 0.0703 0.8551 0.3384  1 Pb 2.91, 2 In 3.04-3.05
Cl 0.6616 0.9297 0.1449  1 Pb 2.91, 2 In 3.04-3.05
In 0.7131 0.0383 0.4898  3 Cl 2.88-3.05
Pb 0.0000 0.0000 0.0000  6 Cl 2.91
In 0.0383 0.4898 0.7131  3 Cl 2.88-3.05
Cl 0.2965 0.2965 0.2965  3 In 2.88
In 0.2869 0.9617 0.5102  3 Cl 2.88-3.05
Cl 0.8551 0.3384 0.0703  1 Pb 2.91, 2 In 3.04-3.05
Cl 0.3384 0.0703 0.8551  1 Pb 2.91, 2 In 3.04-3.05
In 0.9617 0.5102 0.2869  3 Cl 2.88-3.05
In 0.4898 0.7131 0.0383  3 Cl 2.88-3.05
Cl 0.9297 0.1449 0.6616  1 Pb 2.91, 2 In 3.04-3.05
Cl 0.1449 0.6616 0.9297  1 Pb 2.91, 2 In 3.04-3.05

Computed properties:
ΔE_f (raw)	-0.8711	eV per atom
VASP energy	-0.235	Ry per atom
V	527	Å³/cell
density	3717	kg/m3
spin magnetization	0.000	μB/cell

***

[7]
DFT (PBE-GGA) results for an optimized crystal structure of Li2La2Ni15.

abc: 6.3449 6.3449 6.3449
angles: 83.53 83.53 83.53
Last column: nearest neighbours and their distance in Å.
Element x y z (fractional)
Ni 0.7021 0.0000 0.2979  8 Ni 2.40-2.57
Ni 0.6589 0.6589 0.1555  8 Ni 2.43-2.57, 1 Li 2.63
Ni 0.6589 0.1555 0.6589  8 Ni 2.43-2.57, 1 Li 2.63
Ni 0.3411 0.8445 0.3411  8 Ni 2.43-2.57, 1 Li 2.63
Li 0.0926 0.0926 0.0926  1 Li 2.25
Ni 0.0000 0.7021 0.2979  8 Ni 2.40-2.57
Ni 0.0000 0.2979 0.7021  8 Ni 2.40-2.57
Ni 0.7021 0.2979 0.0000  8 Ni 2.40-2.57
Ni 0.2979 0.0000 0.7021  8 Ni 2.40-2.57
Li 0.9074 0.9074 0.9074  1 Li 2.25
Ni 0.3411 0.3411 0.8445  8 Ni 2.43-2.57, 1 Li 2.63
Ni 0.0000 0.0000 0.5000  8 Ni 2.40-2.43, 2 Li 2.60
Ni 0.1555 0.6589 0.6589  8 Ni 2.43-2.57, 1 Li 2.63
Ni 0.2979 0.7021 0.0000  8 Ni 2.40-2.57
Ni 0.5000 0.0000 0.0000  8 Ni 2.40-2.43, 2 Li 2.60
Ni 0.8445 0.3411 0.3411  8 Ni 2.43-2.57, 1 Li 2.63
La 0.3423 0.3423 0.3423  18 Ni 2.98-3.24, 1 Li 3.04
Ni 0.0000 0.5000 0.0000  8 Ni 2.40-2.43, 2 Li 2.60
La 0.6577 0.6577 0.6577  18 Ni 2.98-3.24, 1 Li 3.04

Computed properties:
VASP energy	-0.403	Ry per atom
V	251	Å³/cell
density	7758	kg/m3
spin magnetization	4.924	μB/cell
ΔE_f	-0.20	eV/atom

***

[8]
DFT (PBE-GGA) results for an optimized crystal structure of LiCrSi4.

abc: 4.9918 4.9918 4.9918
angles: 60.00 60.00 60.00
Last column: nearest neighbours and their distance in Å.
Element x y z (fractional)
Si 0.6255 0.6255 0.1234  6 Si 2.49-2.51
Si 0.1234 0.6255 0.6255  6 Si 2.49-2.51
Si 0.6255 0.1234 0.6255  6 Si 2.49-2.51
Si 0.6255 0.6255 0.6255  6 Si 2.49-2.51
Cr 0.2500 0.2500 0.2500  12 Si 2.93, 4 Li 3.06
Li 0.0000 0.0000 0.0000  12 Si 2.93, 4 Cr 3.06

Computed properties:
ΔE_f (raw)	0.2558	eV per atom
VASP energy	-0.388	Ry per atom
V	88	Å³/cell
density	3234	kg/m3
spin magnetization	3.644	μB/cell

***

[9]
DFT (PBE-GGA) results for an optimized crystal structure of Ca2Pu2Pt3.

abc: 4.2161 6.0736 7.5388
angles: 91.58 73.80 69.71
Last column: nearest neighbours and their distance in Å.
Element x y z (fractional)
Ca 0.7071 0.2045 0.3810  5 Pt 2.84-3.10
Pt 0.0000 0.0000 0.0000  4 Pu 2.83, 2 Ca 2.84
Pt 0.9612 0.4090 0.6687  1 Pt 2.78, 2 Pu 2.92, 4 Ca 3.08-3.10
Pt 0.0388 0.5910 0.3313  1 Pt 2.78, 2 Pu 2.92, 4 Ca 3.08-3.10
Ca 0.2929 0.7955 0.6190  5 Pt 2.84-3.10
Pu 0.6140 0.6957 0.0762  5 Pt 2.83-3.17, 2 Pu 3.15-3.16
Pu 0.3860 0.3043 0.9238  5 Pt 2.83-3.17, 2 Pu 3.15-3.16

Computed properties:
VASP energy	-0.587	Ry per atom
V	172	Å³/cell
density	11122	kg/m3
spin magnetization	11.179	μB/cell
ΔE_f	-0.74	eV/atom

***

[10]
DFT (PBE-GGA) results for an optimized crystal structure of NaYTi.

abc: 5.2284 5.2284 5.2284
angles: 60.00 60.00 60.00
Last column: nearest neighbours and their distance in Å.
Element x y z (fractional)
Na 0.2500 0.2500 0.2500  4 Ti 3.20
Y 0.7500 0.7500 0.7500  4 Ti 3.20
Ti 0.5000 0.5000 0.5000  4 Y 3.20, 4 Na 3.20

Computed properties:
VASP energy	-0.300	Ry per atom
V	101	Å³/cell
density	2625	kg/m3
spin magnetization	4.128	μB/cell
ΔE_f	1.14	eV/atom

***

[11]
DFT (PBE-GGA) results for an optimized crystal structure of NaCoOs.

abc: 3.8704 5.9935 4.9852
angles: 104.65 90.00 90.11
Last column: nearest neighbours and their distance in Å.
Element x y z (fractional)
Na 0.5620 0.1403 0.5327  4 Co 2.95-3.18, 3 Os 3.10-3.21, 4 Na 3.20-3.27
Os 0.5613 0.6368 0.9160  4 Co 2.43-2.56, 2 Os 2.46
Na 0.0615 0.2639 0.0782  4 Co 2.95-3.17, 3 Os 3.11-3.21, 4 Na 3.20-3.27
Co 0.5614 0.6324 0.4018  2 Co 2.41, 4 Os 2.43-2.56
Co 0.0617 0.7719 0.2069  2 Co 2.41, 4 Os 2.43-2.56
Os 0.0616 0.7674 0.6926  4 Co 2.43-2.56, 2 Os 2.46

Computed properties:
VASP energy	-0.442	Ry per atom
V	112	Å³/cell
density	8079	kg/m3
spin magnetization	0.805	μB/cell
ΔE_f	0.54	eV/atom

***

[12]
DFT (PBE-GGA) results for an optimized crystal structure of Sc6HgIr5.

abc: 4.6882 6.3769 8.0850
angles: 113.23 106.85 90.00
Last column: nearest neighbours and their distance in Å.
Element x y z (fractional)
Ir 0.6665 0.1665 0.3330  8 Sc 2.77-2.88
Sc 0.5000 0.7397 0.0000  6 Ir 2.79-2.88, 2 Hg 2.87, 1 Sc 3.06
Ir 0.3342 0.3342 0.6685  8 Sc 2.79-2.82
Sc 0.8285 0.5745 0.6570  7 Ir 2.77-2.88, 1 Hg 2.91
Hg 0.0000 0.0000 0.0000  8 Sc 2.87-2.91, 2 Ir 3.19
Sc 0.1715 0.4255 0.3430  7 Ir 2.77-2.88, 1 Hg 2.91
Ir 0.0000 0.5000 0.0000  8 Sc 2.80-2.88
Sc 0.5000 0.2603 0.0000  6 Ir 2.79-2.88, 2 Hg 2.87, 1 Sc 3.06
Sc 0.8285 0.0825 0.6570  7 Ir 2.77-2.88, 1 Hg 2.91
Sc 0.1715 0.9175 0.3430  7 Ir 2.77-2.88, 1 Hg 2.91
Ir 0.6658 0.6658 0.3315  8 Sc 2.79-2.82
Ir 0.3335 0.8335 0.6670  8 Sc 2.77-2.88

Computed properties:
VASP energy	-0.571	Ry per atom
V	211	Å³/cell
density	11277	kg/m3
spin magnetization	0.000	μB/cell
ΔE_f	-0.88	eV/atom

***

[13]
DFT (PBE-GGA) results for an optimized crystal structure of GeS4.

abc: 4.6784 4.6784 4.6784
angles: 90.00 90.00 90.00
Last column: nearest neighbours and their distance in Å.
Element x y z (fractional)
S 0.5000 0.0000 0.5000  2 Ge 2.34
S 0.5000 0.5000 0.0000  2 Ge 2.34
S 0.0000 0.5000 0.5000  2 Ge 2.34
S 0.0000 0.0000 0.0000  12 S 3.31
Ge 0.5000 0.5000 0.5000  6 S 2.34

Computed properties:
ΔE_f (raw)	0.9301	eV per atom
VASP energy	-0.242	Ry per atom
V	102	Å³/cell
density	3258	kg/m3
spin magnetization	0.782	μB/cell

***

[14]
DFT (PBE-GGA) results for an optimized crystal structure of NaNdIn4.

abc: 3.6232 5.0255 8.8817
angles: 90.00 90.12 90.00
Last column: nearest neighbours and their distance in Å.
Element x y z (fractional)
Nd 0.5000 0.5000 0.5000  12 In 3.41-3.51, 2 Nd 3.62
In 0.0098 0.0000 0.6662  3 In 2.93-2.95
In 0.9902 0.0000 0.3338  3 In 2.93-2.95
In 0.0066 0.5000 0.1641  3 In 2.92-2.93
In 0.9934 0.5000 0.8359  3 In 2.92-2.93
Na 0.5000 0.0000 0.0000  12 In 3.41-3.50, 2 Na 3.62

Computed properties:
VASP energy	-0.229	Ry per atom
V	162	Å³/cell
density	6433	kg/m3
spin magnetization	0.000	μB/cell
ΔE_f	-0.27	eV/atom

***

[15]
DFT (PBE-GGA) results for an optimized crystal structure of BaIr2Rh.

abc: 5.1223 5.1223 2.9772
angles: 90.00 90.00 90.00
Last column: nearest neighbours and their distance in Å.
Element x y z (fractional)
Rh 0.5000 0.5000 0.5000  8 Ir 2.96, 2 Rh 2.98
Ir 0.0000 0.5000 0.0000  4 Ba 2.96, 4 Rh 2.96, 2 Ir 2.98
Ir 0.5000 0.0000 0.0000  4 Ba 2.96, 4 Rh 2.96, 2 Ir 2.98
Ba 0.0000 0.0000 0.5000  8 Ir 2.96, 2 Ba 2.98

Computed properties:
VASP energy	-0.429	Ry per atom
V	78	Å³/cell
density	13279	kg/m3
spin magnetization	0.614	μB/cell
ΔE_f	0.92	eV/atom

***

[16]
DFT (PBE-GGA) results for an optimized crystal structure of AsOs3.

abc: 8.5767 8.5767 8.5767
angles: 18.97 18.97 18.97
Last column: nearest neighbours and their distance in Å.
Element x y z (fractional)
As 0.0000 0.0000 0.0000  6 Os 2.62, 6 As 2.83
Os 0.5000 0.5000 0.5000  12 Os 2.71-2.83
Os 0.7477 0.7477 0.7477  3 As 2.62, 9 Os 2.71-2.83
Os 0.2523 0.2523 0.2523  3 As 2.62, 9 Os 2.71-2.83

Computed properties:
VASP energy	-0.678	Ry per atom
V	58	Å³/cell
density	18394	kg/m3
spin magnetization	0.000	μB/cell
ΔE_f	0.36	eV/atom